Entry 1:
A plane-wave DFT calculation with PBE was carried out for a geometry-optimized Rb2TeAu2 structure.

Cell: 6.888 6.888 8.009 Å, 90.00 90.00 90.00°
Space group I4/mmm (No. 139)
Unique sites:
Rb: 0.000 0.500 0.250
Te: 0.000 0.000 0.000
Au: 0.000 0.000 0.338

Summary:
As for the density: 6053 kg/m³. The crystal system is tetragonal. As for the uncorrected formation energy: -0.519 eV per atom.



Entry 2:
A plane-wave DFT calculation with PBE was carried out for a geometry-optimized Sb5Se4 structure.

Cell: 11.757 11.757 3.980 Å, 90.00 90.00 90.00°
Space group I4/mmm (No. 139)
Unique sites:
Sb: 0.000 0.000 0.000
Sb: 0.178 0.178 0.500
Se: 0.000 0.246 0.000

Summary:
As for the density: 5582 kg/m³. The crystal system is tetragonal. As for the uncorrected formation energy: 0.049 eV per atom.



Entry 3:
A plane-wave DFT calculation with PBE was carried out for a geometry-optimized GaCo3S structure.

Cell: 4.376 4.376 4.376 Å, 90.00 90.00 90.00°
Space group Pm-3m (No. 221)
Unique sites:
Ga: 0.000 0.000 0.000
Co: 0.000 0.000 0.500
S: 0.500 0.500 0.500

Summary:
As for the density: 5522 kg/m³. The crystal system is cubic. As for the uncorrected formation energy: 1.152 eV per atom.



Entry 4:
A plane-wave DFT calculation with PBE was carried out for a geometry-optimized Ba2NpRh3O12 structure.

Cell: 7.1187 7.1187 18.5541 Å, 90.00 90.00 120.00°
Space group R-3m (No. 166, hexagonal axes)
Unique sites:
Ba: 0.0000 0.0000 0.1052
Np: 0.0000 0.0000 0.5000
Rh: 0.0000 0.5000 0.0000
O: 0.0538 0.5269 0.3544
O: 0.0572 0.5286 0.1075

Summary:
As for the density: 6194 kg/m³. The crystal system is trigonal. As for the uncorrected formation energy: -1.606 eV per atom.